DFT (PBE) results for BeInBRu2 after structural relaxation.

The structure in CIF format:
```
data_BeInBRu2
_symmetry_space_group_name_H-M 'P 1'
_symmetry_Int_Tables_number 1
_symmetry_space_group_name_Hall 'P 1'
_cell_length_a 4.8874
_cell_length_b 4.8874
_cell_length_c 4.2295
_cell_angle_alpha 90.00
_cell_angle_beta 90.00
_cell_angle_gamma 90.00
loop_
_atom_site_label
_atom_site_fract_x
_atom_site_fract_y
_atom_site_fract_z
Be1 0.0000 0.0000 0.0000
In1 0.0000 0.0000 0.5000
B1 0.5000 0.5000 0.0000
Ru1 0.0000 0.5000 0.5000
Ru2 0.5000 0.0000 0.5000
```

Properties
Calculated formation energy   2.56 eV/atom
E   -3.78 eV per atom
M_tot   1.54 μB/cell